1.
Tl2CrSb after structural relaxation, computed with PBE.

Computed properties:
total magnetization: 0.16 μB per cell
DOS at the Fermi energy: 1.65 states/eV/atom
raw total energy: -57.85 eV for the cell shown
V: 24.81 Å³ per atom
raw formation energy: 1.004 eV per atom

Unit cell a=7.350 b=7.350 c=7.350 alpha=90.00 beta=90.00 gamma=90.00
Space group Fm-3m (No. 225)
Inequivalent atoms, fractional coordinates:
Tl (0.250, 0.250, 0.250) (multiplicity 8)
Cr (0.000, 0.000, 0.000) (multiplicity 4)
Sb (0.000, 0.000, 0.500) (multiplicity 4)

=====

2.
TlCrSb2 after structural relaxation, computed with PBE.

Computed properties:
total magnetization: 6.10 μB per cell
DOS at the Fermi energy: 0.62 states/eV/atom
raw total energy: -38.86 eV for the cell shown
V: 27.06 Å³ per atom
raw formation energy: 0.201 eV per atom

Unit cell a=3.223 b=3.733 c=17.991 alpha=90.00 beta=90.00 gamma=90.00
Space group Imm2 (No. 44)
Inequivalent atoms, fractional coordinates:
Tl (0.000, 0.000, 0.000) (multiplicity 2)
Cr (0.000, 0.500, 0.734) (multiplicity 2)
Sb (0.000, 0.000, 0.360) (multiplicity 2)
Sb (0.000, 0.500, 0.163) (multiplicity 2)

=====

Among the records above, which one has the highest raw total energy? TlCrSb2